The following is a PBE-GGA calculation of HfTaW after structural relaxation, from OQMD via LeMat-Bulk.

Computed properties:
Energy above the lowest structure with this stoichiometry in eV per formula unit: 0.00
Formation energy from the elements in eV/atom: 0.58
Density in Mg/m³: 14.03
Electronic total energy in eV/atom: -11.009

a = 4.497 Å, b = 4.497 Å, c = 4.497 Å
α = 60.00°, β = 60.00°, γ = 60.00°
Atoms (fractional coordinates):
1 Hf 0.250 0.250 0.250
2 Ta 0.750 0.750 0.750
3 W 0.000 0.000 0.000



The following is a PBE-GGA calculation of YHfTa2 after structural relaxation, from OQMD via LeMat-Bulk.

Computed properties:
Formation energy from the elements in eV/atom: 0.37
Density in Mg/m³: 12.29
Electronic total energy in eV/atom: -9.657

a = 4.936 Å, b = 4.936 Å, c = 4.936 Å
α = 60.00°, β = 60.00°, γ = 60.00°
Atoms (fractional coordinates):
1 Hf 0.500 0.500 0.500
2 Ta 0.000 0.000 0.000
3 Ta 0.250 0.250 0.250
4 Y 0.750 0.750 0.750



The following is a PBE-GGA calculation of HfTa2Zn after structural relaxation, from OQMD via LeMat-Bulk.

Computed properties:
Formation energy from the elements in eV/atom: 0.10
Density in Mg/m³: 13.89
Electronic total energy in eV/atom: -8.633

a = 4.679 Å, b = 4.679 Å, c = 4.679 Å
α = 60.00°, β = 60.00°, γ = 60.00°
Atoms (fractional coordinates):
1 Hf 0.250 0.250 0.250
2 Ta 0.000 0.000 0.000
3 Ta 0.750 0.750 0.750
4 Zn 0.500 0.500 0.500



The following is a PBE-GGA calculation of HfTaZn after structural relaxation, from OQMD via LeMat-Bulk.

Computed properties:
Energy above the lowest structure with this stoichiometry in eV per formula unit: 0.00
Formation energy from the elements in eV/atom: 1.04
Density in Mg/m³: 10.60
Electronic total energy in eV/atom: -6.652

a = 4.549 Å, b = 4.549 Å, c = 4.549 Å
α = 60.00°, β = 60.00°, γ = 60.00°
Atoms (fractional coordinates):
1 Hf 0.250 0.250 0.250
2 Ta 0.000 0.000 0.000
3 Zn 0.750 0.750 0.750